Below is a relaxed structure of AsRh3Cl, with properties calculated at the GGA-PBEsol level.

Its formation energy from raw total energies is 0.82 eV per atom.

The structure belongs to space group Pm-3m (No. 221); the cell edges are 4.3495, 4.3495 and 4.3495 Å and the angles 90.00°, 90.00° and 90.00°. Symmetry generates all atoms from As at (0.0000, 0.0000, 0.0000), Rh at (0.0000, 0.5000, 0.5000) and Cl at (0.5000, 0.5000, 0.5000).

---

Below is a relaxed structure of CsRbMnF6, with properties calculated at the GGA-PBEsol level.

Its formation energy from raw total energies is -2.71 eV per atom.

The structure belongs to space group F-43m (No. 216); the cell edges are 8.6705, 8.6705 and 8.6705 Å and the angles 90.00°, 90.00° and 90.00°. Symmetry generates all atoms from Cs at (0.0000, 0.0000, 0.0000), Rb at (0.0000, 0.0000, 0.5000), Mn at (0.2500, 0.2500, 0.7500) and F at (0.0404, 0.2500, 0.7500).

---

Below is a relaxed structure of KScTa2, with properties calculated at the GGA-PBEsol level.

For the formation energy, the calculation gives 1.0896 eV/atom.

The structure belongs to space group C2/m (No. 12); the cell edges are 5.9031, 11.1571 and 2.7168 Å and the angles 90.00°, 107.96° and 90.00°. Symmetry generates all atoms from K at (0.0000, 0.0000, 0.0000), Sc at (0.0000, 0.5000, 0.0000) and Ta at (0.2500, 0.2500, 0.5000).